Cd2In2I | PBE-GGA | optimized geometry

a b c (Å): 5.017 5.017 12.657
angles (deg): 90.00 90.00 90.00
Space group I4/mmm (No. 139)
Asymmetric unit:
Cd 0.000 0.000 0.109
In 0.000 0.500 0.250
I 0.000 0.000 0.500

The value obtained for the energy relative to the lowest polymorph listed for this composition is 51 meV/atom. The formation energy without anion corrections is 24.4 meV per atom. The value obtained for the total magnetization is 0.00 μB/cell.